## Mg2TeBr (PBE-GGA)

Data for an optimized crystal structure of Mg2TeBr.

Geometry as POSCAR:
```
Mg2TeBr
1.0
-3.708 2.527 -3.137
2.282 -2.206 -4.462
-2.622 -2.055 4.345
Mg Te Br
2 1 1
direct
0.007 0.007 0.000 Mg
0.493 0.493 0.000 Mg
0.750 0.250 0.500 Te
0.250 0.750 0.500 Br
```

As for the space-group type: Immm. For the energy above the lowest structure with this stoichiometry, the calculation gives 0.148 eV/atom. The value obtained for the raw total energy is -10.28 eV per cell. Its spin magnetization is 0.0 μB per formula unit.